A plane-wave DFT calculation with GGA-PBE was carried out for a relaxed structure of CoTcTeP2.

POSCAR file:
```
CoTcTeP2
1.0
-3.886 -1.625 0.278
0.723 -0.853 5.125
-1.542 3.835 0.856
P Te Co Tc
2 1 1 1
Direct
0.000 0.000 0.500
0.500 0.000 0.000
0.000 0.500 0.000
0.000 0.000 0.000
0.500 0.500 0.500
```

Formation energy from raw total energies   0.7967 eV/atom
M_tot   2.03 μB per formula unit
VASP energy   -5.490 eV/atom
Crystal system   tetragonal
Symmetry   P4/mmm, No. 123